# InHgSb2Te PBE relaxed
# Raw formation energy: 0.5996 eV per atom
# Energy above the lowest structure with this stoichiometry: 0 meV/atom
# SG: P4/mmm, No. 123
# Final energy: -2.29 eV/atom
# ρ: 5.8 Mg/m³
data_InHgSb2Te
_cell_length_a 5.722
_cell_length_b 5.722
_cell_length_c 6.017
_cell_angle_alpha 90.00
_cell_angle_beta 90.00
_cell_angle_gamma 90.00
_space_group_name_H-M_alt 'P 1'
_space_group_IT_number 1
_space_group_name_Hall 'P 1'
loop_
_atom_site_label
_atom_site_type_symbol
_atom_site_fract_x
_atom_site_fract_y
_atom_site_fract_z
_atom_site_occupancy
Sb1 Sb 0.500 0.000 0.000 1
Sb2 Sb 0.000 0.500 0.000 1
Hg1 Hg 0.000 0.000 0.000 1
In1 In 0.500 0.500 0.500 1
Te1 Te 0.000 0.000 0.500 1